AsBr2Cl: optimized geometry, PBE.

Geometry as CIF:
```
data_AsBr2Cl
_space_group_name_H-M_alt 'C 1 2 1'
_space_group_IT_number 5
_space_group_name_Hall 'C 2y'
_cell_length_a 9.789
_cell_length_b 9.944
_cell_length_c 4.988
_cell_angle_alpha 90.00
_cell_angle_beta 120.38
_cell_angle_gamma 90.00
loop_
_atom_site_label
_atom_site_fract_x
_atom_site_fract_y
_atom_site_fract_z
As1 0.000 0.000 0.000
Br1 0.215 0.850 0.213
Cl1 0.000 0.058 0.500
```

Computed properties:
- Energy above the lowest structure with this stoichiometry: 58 meV per atom
- Total energy: -2.93 eV per atom
- Spin magnetization: 0.00 μB/f.u.